{"formula": "Ba8NaCa2", "functional": "PBE-GGA", "state": "optimized geometry", "lattice": [[-0.4606, -4.2357, 5.2667], [7.7241, 1.9673, 2.2577], [-4.2217, 10.3805, 3.6224]], "species": ["Ba", "Ba", "Na", "Ba", "Ba", "Ba", "Ba", "Ba", "Ca", "Ca", "Ba"], "fractional_positions": [[0.6753, 0.9177, 0.3507], [0.4088, 0.5739, 0.8175], [0.5000, 0.0000, 0.0000], [0.3247, 0.0823, 0.6493], [0.0383, 0.7524, 0.0765], [0.7761, 0.3647, 0.5521], [0.9617, 0.2476, 0.9235], [0.5912, 0.4261, 0.1825], [0.8524, 0.8171, 0.7048], [0.1476, 0.1829, 0.2952], [0.2239, 0.6353, 0.4479]], "formation_energy_ev_per_atom": 0.028, "sg": "C2/m", "polymorph_energy_ev_per_atom": 0.0000}



{"formula": "Ba2Na5Ca", "functional": "PBE-GGA", "state": "optimized geometry", "lattice": [[-3.4538, -3.1136, 4.2607], [5.1713, -3.0115, 1.9912], [0.6438, 9.6136, 2.8794]], "species": ["Na", "Na", "Ba", "Na", "Ba", "Na", "Na", "Ca"], "fractional_positions": [[0.3915, 0.8915, 0.7830], [0.1085, 0.6085, 0.2170], [0.2502, 0.2502, 0.5005], [0.6085, 0.1085, 0.2170], [0.7498, 0.7498, 0.4995], [0.8915, 0.3915, 0.7830], [0.5000, 0.5000, 0.0000], [0.0000, 0.0000, 0.0000]], "formation_energy_ev_per_atom": 0.042, "sg": "I4/mmm"}



{"formula": "Ba12NaCa3", "functional": "PBE-GGA", "state": "optimized geometry", "lattice": [[-5.0838, -2.6312, 2.1043], [3.3687, -3.9044, 3.2563], [-0.2391, 16.0644, 19.5089]], "species": ["Na", "Ba", "Ba", "Ba", "Ba", "Ba", "Ba", "Ba", "Ba", "Ba", "Ca", "Ca", "Ba", "Ca", "Ba", "Ba"], "fractional_positions": [[0.0000, 0.0000, 0.0000], [0.5000, 0.0000, 0.1263], [0.0000, 0.5000, 0.1263], [0.0000, 0.5000, 0.3751], [0.5000, 0.5000, 0.7498], [0.5000, 0.0000, 0.6249], [0.0000, 0.5000, 0.6249], [0.5000, 0.5000, 0.0000], [0.0000, 0.5000, 0.8737], [0.5000, 0.5000, 0.5000], [0.0000, 0.0000, 0.2507], [0.0000, 0.0000, 0.5000], [0.5000, 0.0000, 0.8737], [0.0000, 0.0000, 0.7493], [0.5000, 0.0000, 0.3751], [0.5000, 0.5000, 0.2502]], "formation_energy_ev_per_atom": 0.045, "sg": "P4/mmm"}



{"formula": "Ba5NaCa", "functional": "PBE-GGA", "state": "optimized geometry", "lattice": [[-5.8900, -1.8029, -0.8115], [1.4051, -5.6111, 2.2676], [-2.4437, 3.4545, 10.0622]], "species": ["Ba", "Ba", "Na", "Ba", "Ba", "Ca", "Ba"], "fractional_positions": [[0.5000, 0.0000, 0.2152], [0.0000, 0.5000, 0.7848], [0.5000, 0.5000, 0.0000], [0.0000, 0.5000, 0.2152], [0.5000, 0.5000, 0.5000], [0.0000, 0.0000, 0.5000], [0.5000, 0.0000, 0.7848]], "formation_energy_ev_per_atom": 0.107, "sg": "P4/mmm", "polymorph_energy_ev_per_atom": 0.0000}



VASP energy (computed, eV per atom): -1.8545; -1.5128; -1.8544; -1.7404